1.
An optimized crystal structure of Y6TeP2S3, computed with PBE-GGA.

Values from the calculation:
The uncorrected formation energy is -1.788 eV per atom. Its uncorrected energy is -7.215 eV/atom.

Cell lengths 17.5252, 4.0149, 8.1139 Å; angles 90.00, 102.59, 90.00 degrees
Space group C2/m (No. 12)
Symmetry-distinct sites (fractional):
Y1 0.0057 0.0000 0.2812 x4
Y2 0.1694 0.5000 0.5782 x4
Y3 0.1773 0.5000 0.1037 x4
Te1 0.0000 0.5000 0.0000 x2
P1 0.1678 0.0000 0.3354 x4
S1 0.0000 0.5000 0.5000 x2
S2 0.1623 0.0000 0.8351 x4



2.
An optimized crystal structure of YTePS2, computed with PBE-GGA.

Values from the calculation:
The uncorrected formation energy is 0.008 eV per atom. Its uncorrected energy is -4.646 eV/atom.

Cell lengths 5.0046, 5.0046, 4.9915 Å; angles 90.00, 90.00, 90.00 degrees
Space group P4/mmm (No. 123)
Symmetry-distinct sites (fractional):
Y1 0.0000 0.0000 0.0000 x1
Te1 0.5000 0.5000 0.5000 x1
P1 0.5000 0.5000 0.0000 x1
S1 0.0000 0.5000 0.5000 x2



3.
An optimized crystal structure of YTePS2, computed with PBE-GGA.

Values from the calculation:
The uncorrected formation energy is 0.144 eV per atom. Its uncorrected energy is -4.510 eV/atom.

Cell lengths 5.1236, 5.1236, 5.5206 Å; angles 90.00, 90.00, 90.00 degrees
Space group P4/mmm (No. 123)
Symmetry-distinct sites (fractional):
Y1 0.0000 0.0000 0.0000 x1
Te1 0.5000 0.5000 0.5000 x1
P1 0.0000 0.0000 0.5000 x1
S1 0.0000 0.5000 0.0000 x2



4.
An optimized crystal structure of Y4Te2PS, computed with PBE-GGA.

Values from the calculation:
The uncorrected formation energy is -1.635 eV per atom. Its uncorrected energy is -6.844 eV/atom.

Cell lengths 7.0912, 4.1035, 7.4338 Å; angles 90.00, 108.61, 90.00 degrees
Space group P2/m (No. 10)
Symmetry-distinct sites (fractional):
Y1 0.2320 0.0000 0.2070 x2
Y2 0.2614 0.5000 0.7938 x2
Te1 0.0000 0.0000 0.5000 x1
Te2 0.5000 0.5000 0.5000 x1
P1 0.0000 0.5000 0.0000 x1
S1 0.5000 0.0000 0.0000 x1



5.
An optimized crystal structure of Th4PS3, computed with PBE-GGA.

Values from the calculation:
The uncorrected formation energy is -1.795 eV per atom. Its uncorrected energy is -7.729 eV/atom.

Cell lengths 5.7478, 5.7478, 5.7478 Å; angles 90.00, 90.00, 90.00 degrees
Space group Pm-3m (No. 221)
Symmetry-distinct sites (fractional):
Th1 0.0000 0.0000 0.0000 x1
Th2 0.0000 0.5000 0.5000 x3
P1 0.5000 0.5000 0.5000 x1
S1 0.0000 0.0000 0.5000 x3



6.
An optimized crystal structure of Th2P2S, computed with PBE-GGA.

Values from the calculation:
The uncorrected formation energy is -1.217 eV per atom. Its uncorrected energy is -7.174 eV/atom.

Cell lengths 7.2973, 4.7326, 7.0331 Å; angles 90.00, 102.33, 90.00 degrees
Space group C2/m (No. 12)
Symmetry-distinct sites (fractional):
Th1 0.2021 0.0000 0.2245 x4
P1 0.0000 0.2372 0.5000 x4
S1 0.0000 0.5000 0.0000 x2



7.
An optimized crystal structure of Th5P4S, computed with PBE-GGA.

Values from the calculation:
The uncorrected formation energy is -1.616 eV per atom. Its uncorrected energy is -7.902 eV/atom.

Cell lengths 4.1313, 5.8335, 20.5777 Å; angles 90.00, 90.00, 90.00 degrees
Space group Immm (No. 71)
Symmetry-distinct sites (fractional):
Th1 0.0000 0.0000 0.0000 x2
Th2 0.0000 0.0000 0.1997 x4
Th3 0.0000 0.0000 0.3996 x4
P1 0.0000 0.5000 0.1995 x4
P2 0.0000 0.5000 0.4005 x4
S1 0.0000 0.5000 0.0000 x2



8.
An optimized crystal structure of Th2PS, computed with PBE-GGA.

Values from the calculation:
The uncorrected formation energy is -1.639 eV per atom. Its uncorrected energy is -7.733 eV/atom.

Cell lengths 4.0341, 4.0341, 14.1089 Å; angles 90.00, 90.00, 120.00 degrees
Space group P6_3/mmc (No. 194)
Symmetry-distinct sites (fractional):
Th1 0.3333 0.6667 0.1150 x4
P1 0.0000 0.0000 0.0000 x2
S1 0.3333 0.6667 0.7500 x2



9.
An optimized crystal structure of Th4P3S, computed with PBE-GGA.

Values from the calculation:
The uncorrected formation energy is -1.624 eV per atom. Its uncorrected energy is -7.878 eV/atom.

Cell lengths 5.8263, 5.8263, 5.8263 Å; angles 90.00, 90.00, 90.00 degrees
Space group Pm-3m (No. 221)
Symmetry-distinct sites (fractional):
Th1 0.0000 0.0000 0.0000 x1
Th2 0.0000 0.5000 0.5000 x3
P1 0.0000 0.0000 0.5000 x3
S1 0.5000 0.5000 0.5000 x1



10.
An optimized crystal structure of Th2PS, computed with PBE-GGA.

Values from the calculation:
The uncorrected formation energy is -1.589 eV per atom. Its uncorrected energy is -7.683 eV/atom.

Cell lengths 3.9716, 3.9716, 21.7633 Å; angles 90.00, 90.00, 120.00 degrees
Space group R3m (No. 160, hexagonal axes)
Symmetry-distinct sites (fractional):
Th1 0.0000 0.0000 0.0000 x3
Th2 0.0000 0.0000 0.1777 x3
P1 0.0000 0.0000 0.5888 x3
S1 0.0000 0.0000 0.4205 x3



11.
An optimized crystal structure of Th4P3S, computed with PBE-GGA.

Values from the calculation:
The uncorrected formation energy is -1.638 eV per atom. Its uncorrected energy is -7.892 eV/atom.

Cell lengths 4.1251, 4.1251, 40.2164 Å; angles 90.00, 90.00, 120.00 degrees
Space group R-3m (No. 166, hexagonal axes)
Symmetry-distinct sites (fractional):
Th1 0.0000 0.0000 0.1244 x6
Th2 0.0000 0.0000 0.3749 x6
P1 0.0000 0.0000 0.2509 x6
P2 0.0000 0.0000 0.5000 x3
S1 0.0000 0.0000 0.0000 x3



12.
An optimized crystal structure of ThP2S8, computed with PBE-GGA.

Values from the calculation:
The uncorrected formation energy is -0.426 eV per atom. Its uncorrected energy is -5.086 eV/atom.

Cell lengths 13.3881, 8.2060, 6.1257 Å; angles 90.00, 105.99, 90.00 degrees
Space group C2/m (No. 12)
Symmetry-distinct sites (fractional):
Th1 0.0000 0.0000 0.0000 x2
P1 0.1751 0.0000 0.6846 x4
S1 0.0984 0.2046 0.7510 x8
S2 0.1817 0.5000 0.0999 x4
S3 0.1848 0.0000 0.3566 x4



13.
An optimized crystal structure of Th3P3S, computed with PBE-GGA.

Values from the calculation:
The uncorrected formation energy is -1.140 eV per atom. Its uncorrected energy is -7.228 eV/atom.

Cell lengths 9.8923, 9.8923, 5.9588 Å; angles 90.00, 90.00, 120.00 degrees
Space group R3m (No. 160, hexagonal axes)
Symmetry-distinct sites (fractional):
Th1 0.0253 0.5127 0.0000 x9
P1 0.1772 0.3544 0.8156 x9
S1 0.0000 0.0000 0.5500 x3



14.
An optimized crystal structure of Th2P2S, computed with PBE-GGA.

Values from the calculation:
The uncorrected formation energy is 0.141 eV per atom. Its uncorrected energy is -5.816 eV/atom.

Cell lengths 3.6313, 3.6313, 12.6896 Å; angles 90.00, 90.00, 90.00 degrees
Space group P4/mmm (No. 123)
Symmetry-distinct sites (fractional):
Th1 0.0000 0.0000 0.2054 x2
P1 0.0000 0.0000 0.4223 x2
S1 0.0000 0.0000 0.0000 x1



15.
An optimized crystal structure of Th6PS5, computed with PBE-GGA.

Values from the calculation:
The uncorrected formation energy is -1.810 eV per atom. Its uncorrected energy is -7.690 eV/atom.

Cell lengths 7.0451, 12.1610, 7.0303 Å; angles 90.00, 109.41, 90.00 degrees
Space group C2/m (No. 12)
Symmetry-distinct sites (fractional):
Th1 0.2499 0.0000 0.2484 x4
Th2 0.2503 0.1663 0.7500 x8
P1 0.0000 0.5000 0.0000 x2
S1 0.0000 0.0000 0.5000 x2
S2 0.0000 0.1672 0.0000 x4
S3 0.0000 0.3350 0.5000 x4



16.
An optimized crystal structure of Th8P6S, computed with PBE-GGA.

Values from the calculation:
The uncorrected formation energy is -1.081 eV per atom. Its uncorrected energy is -7.478 eV/atom.

Cell lengths 10.4948, 10.4948, 4.2289 Å; angles 90.00, 90.00, 120.00 degrees
Space group P-3 (No. 147)
Symmetry-distinct sites (fractional):
Th1 0.0387 0.7010 0.2603 x6
Th2 0.3333 0.6667 0.7447 x2
P1 0.1313 0.4834 0.2438 x6
S1 0.0000 0.0000 0.5000 x1



17.
An optimized crystal structure of Th4PS5, computed with PBE-GGA.

Values from the calculation:
The uncorrected formation energy is -1.803 eV per atom. Its uncorrected energy is -7.376 eV/atom.

Cell lengths 17.7527, 4.1190, 8.0807 Å; angles 90.00, 106.07, 90.00 degrees
Space group C2/m (No. 12)
Symmetry-distinct sites (fractional):
Th1 0.0001 0.0000 0.2488 x4
Th2 0.1687 0.5000 0.1124 x4
P1 0.0000 0.5000 0.0000 x2
S1 0.0000 0.5000 0.5000 x2
S2 0.1647 0.0000 0.3379 x4
S3 0.1682 0.0000 0.8633 x4



18.
An optimized crystal structure of Th3PS2, computed with PBE-GGA.

Values from the calculation:
The uncorrected formation energy is -1.770 eV per atom. Its uncorrected energy is -7.758 eV/atom.

Cell lengths 4.0973, 5.7678, 12.1677 Å; angles 90.00, 90.00, 90.00 degrees
Space group Immm (No. 71)
Symmetry-distinct sites (fractional):
Th1 0.0000 0.0000 0.0000 x2
Th2 0.0000 0.0000 0.3345 x4
P1 0.0000 0.5000 0.0000 x2
S1 0.0000 0.5000 0.3342 x4



19.
An optimized crystal structure of Th2PS, computed with PBE-GGA.

Values from the calculation:
The uncorrected formation energy is -1.726 eV per atom. Its uncorrected energy is -7.821 eV/atom.

Cell lengths 4.0975, 4.0975, 20.0272 Å; angles 90.00, 90.00, 120.00 degrees
Space group R-3m (No. 166, hexagonal axes)
Symmetry-distinct sites (fractional):
Th1 0.0000 0.0000 0.2490 x6
P1 0.0000 0.0000 0.5000 x3
S1 0.0000 0.0000 0.0000 x3



20.
An optimized crystal structure of Th4P2S, computed with PBE-GGA.

Values from the calculation:
The uncorrected formation energy is -1.250 eV per atom. Its uncorrected energy is -7.625 eV/atom.

Cell lengths 15.3902, 3.9989, 6.9101 Å; angles 90.00, 116.46, 90.00 degrees
Space group C2/m (No. 12)
Symmetry-distinct sites (fractional):
Th1 0.1237 0.0000 0.4545 x4
Th2 0.1256 0.5000 0.9624 x4
P1 0.2461 0.5000 0.7438 x4
S1 0.0000 0.0000 0.0000 x2



21.
An optimized crystal structure of Th3PS, computed with PBE-GGA.

Values from the calculation:
The uncorrected formation energy is -0.928 eV per atom. Its uncorrected energy is -7.288 eV/atom.

Cell lengths 6.4672, 6.4672, 3.8652 Å; angles 90.00, 90.00, 120.00 degrees
Space group P-6 (No. 174)
Symmetry-distinct sites (fractional):
Th1 0.0053 0.3366 0.0000 x3
P1 0.0000 0.0000 0.5000 x1
S1 0.6667 0.3333 0.5000 x1



22.
An optimized crystal structure of Th6TlP2S3, computed with PBE-GGA.

Values from the calculation:
The uncorrected formation energy is -1.386 eV per atom. Its uncorrected energy is -7.227 eV/atom.

Cell lengths 18.0888, 4.1744, 8.3187 Å; angles 90.00, 102.09, 90.00 degrees
Space group C2/m (No. 12)
Symmetry-distinct sites (fractional):
Th1 0.0037 0.0000 0.2761 x4
Th2 0.1669 0.5000 0.5799 x4
Th3 0.1756 0.5000 0.0896 x4
Tl1 0.0000 0.5000 0.0000 x2
P1 0.1691 0.0000 0.3338 x4
S1 0.0000 0.5000 0.5000 x2
S2 0.1614 0.0000 0.8295 x4



23.
An optimized crystal structure of YThPS, computed with PBE-GGA.

Values from the calculation:
The uncorrected formation energy is -1.680 eV per atom. Its uncorrected energy is -7.535 eV/atom.

Cell lengths 3.9580, 3.9580, 21.0717 Å; angles 90.00, 90.00, 120.00 degrees
Space group R3m (No. 160, hexagonal axes)
Symmetry-distinct sites (fractional):
Y1 0.0000 0.0000 0.0000 x3
Th1 0.0000 0.0000 0.8187 x3
P1 0.0000 0.0000 0.4069 x3
S1 0.0000 0.0000 0.2436 x3



24.
An optimized crystal structure of Ti4PS2, computed with PBE-GGA.

Values from the calculation:
The uncorrected formation energy is -1.128 eV per atom. Its uncorrected energy is -7.591 eV/atom.

Cell lengths 3.4714, 11.2073, 11.1673 Å; angles 90.00, 90.00, 90.00 degrees
Space group Cmcm (No. 63)
Symmetry-distinct sites (fractional):
Ti1 0.0000 0.0000 0.0000 x4
Ti2 0.0000 0.2784 0.1242 x8
Ti3 0.0000 0.4582 0.7500 x4
P1 0.0000 0.1104 0.7500 x4
S1 0.0000 0.3628 0.5672 x8



25.
An optimized crystal structure of TiP2S2, computed with PBE-GGA.

Values from the calculation:
The uncorrected formation energy is 0.372 eV per atom. Its uncorrected energy is -5.022 eV/atom.

Cell lengths 4.4410, 4.4410, 4.4183 Å; angles 90.00, 90.00, 90.00 degrees
Space group P4/mmm (No. 123)
Symmetry-distinct sites (fractional):
Ti1 0.0000 0.0000 0.0000 x1
P1 0.5000 0.5000 0.0000 x1
P2 0.5000 0.5000 0.5000 x1
S1 0.0000 0.5000 0.5000 x2



no.,total magnetic moment (μB/f.u.)
1,0.00
2,0.00
3,0.01
4,0.00
5,0.00
6,0.00
7,0.00
8,0.00
9,0.00
10,0.00
11,0.00
12,0.00
13,0.00
14,0.17
15,0.00
16,0.00
17,0.00
18,0.00
19,0.00
20,0.00
21,0.00
22,0.00
23,0.00
24,0.00
25,0.00